NaSrMnF6: optimized geometry, PBE+U.

Summary:
Calculated density, g/cm³: 3.42
Crystal system: trigonal
E, eV per cell: -47.1

Lattice parameters (Å, degrees): 5.094 5.545 5.545 120.00 90.00 90.00
Element x y z (fractional)
Na 0.500 0.000 0.000
Sr 0.000 0.333 0.667
Mn 0.500 0.667 0.333
F 0.715 0.667 0.619
F 0.715 0.381 0.047
F 0.715 0.953 0.333
F 0.285 0.381 0.333
F 0.285 0.667 0.047
F 0.285 0.953 0.619